DFT (GGA-PBE) results for crystalline BTe2IF at its relaxed geometry.

a = 4.813 Å, b = 4.813 Å, c = 5.037 Å
α = 90.00°, β = 90.00°, γ = 90.00°
Sites, in units of the cell vectors:
B: 0.000 0.000 0.000
Te: 0.000 0.500 0.000
Te: 0.500 0.000 0.000
I: 0.000 0.000 0.500
F: 0.500 0.500 0.500

Values from the calculation:
SG ... No. 123
Formation energy without anion corrections ... 0.50 eV/atom
Energy above the most stable polymorph in this dataset ... 0.0000 eV/atom